Density functional theory data (PBE) for a relaxed AcAl2Sn crystal.

```
AcAl2Sn
1.0
-0.497 0.668 3.741
3.110 -2.097 0.787
4.068 5.843 -0.503
Al Ac Sn
2 1 1
direct
0.000 0.000 0.809 Al
0.000 0.000 0.191 Al
0.500 0.500 0.500 Ac
0.500 0.500 0.000 Sn
```

Properties
formation energy	-0.161	eV per atom
DOS at the Fermi energy	3.2	states/eV/f.u.
magnetization	0.00	Bohr magnetons per cell
total DFT energy (no corrections)	-4.060	eV/atom